(1)
Material: Tm3NpTl3Te8
Method: DFT, GGA-PBE
State: relaxed

- Density: 7.21 Mg/m³
- E_form (uncorrected): -0.94 eV/atom
- DOS(E_F): 4.5 states/eV/f.u.
- Total moment: 3.030 Bohr magnetons per cell
- DFT total energy: -4.842 eV/atom

abc: 9.674 9.674 9.674
angles: 53.81 53.81 53.81
Sites, in units of the cell vectors:
1 Tm 0.000 0.500 0.500
2 Tm 0.500 0.000 0.500
3 Tm 0.500 0.500 0.000
4 Np 0.000 0.000 0.000
5 Tl 0.000 0.000 0.500
6 Tl 0.000 0.500 0.000
7 Tl 0.500 0.000 0.000
8 Te 0.238 0.238 0.735
9 Te 0.238 0.735 0.238
10 Te 0.263 0.263 0.263
11 Te 0.265 0.762 0.762
12 Te 0.735 0.238 0.238
13 Te 0.737 0.737 0.737
14 Te 0.762 0.265 0.762
15 Te 0.762 0.762 0.265

---

(2)
Material: Tm2NpTl3Te6
Method: DFT, GGA-PBE
State: relaxed

- Density: 7.74 Mg/m³
- E_form (uncorrected): -0.86 eV/atom
- DOS(E_F): 4.7 states/eV/f.u.
- Total moment: 4.000 Bohr magnetons per cell
- DFT total energy: -4.849 eV/atom

abc: 7.704 7.704 8.552
angles: 98.65 98.65 119.98
Sites, in units of the cell vectors:
1 Tm 0.167 0.833 0.000
2 Tm 0.833 0.167 0.000
3 Np 0.500 0.500 0.000
4 Tl 0.000 0.000 0.500
5 Tl 0.336 0.664 0.500
6 Tl 0.664 0.336 0.500
7 Te 0.088 0.429 0.787
8 Te 0.229 0.229 0.211
9 Te 0.429 0.088 0.787
10 Te 0.571 0.912 0.213
11 Te 0.771 0.771 0.789
12 Te 0.912 0.571 0.213

---

(3)
Material: Tm3NpTl4Te8
Method: DFT, GGA-PBE
State: relaxed

- Density: 7.70 Mg/m³
- E_form (uncorrected): -0.90 eV/atom
- DOS(E_F): 6.9 states/eV/f.u.
- Total moment: 3.999 Bohr magnetons per cell
- DFT total energy: -4.713 eV/atom

abc: 9.644 9.644 9.644
angles: 54.75 54.75 54.75
Sites, in units of the cell vectors:
1 Tm 0.000 0.500 0.500
2 Tm 0.500 0.000 0.500
3 Tm 0.500 0.500 0.000
4 Np 0.000 0.000 0.000
5 Tl 0.000 0.000 0.500
6 Tl 0.000 0.500 0.000
7 Tl 0.500 0.000 0.000
8 Tl 0.500 0.500 0.500
9 Te 0.241 0.241 0.731
10 Te 0.241 0.731 0.241
11 Te 0.263 0.263 0.263
12 Te 0.269 0.759 0.759
13 Te 0.731 0.241 0.241
14 Te 0.737 0.737 0.737
15 Te 0.759 0.269 0.759
16 Te 0.759 0.759 0.269

---

(4)
Material: TmNp3Tl3Te8
Method: DFT, GGA-PBE
State: relaxed

- Density: 7.47 Mg/m³
- E_form (uncorrected): -0.69 eV/atom
- DOS(E_F): 26.9 states/eV/f.u.
- Total moment: 11.000 Bohr magnetons per cell
- DFT total energy: -5.729 eV/atom

abc: 9.690 9.690 9.690
angles: 54.36 54.36 54.36
Sites, in units of the cell vectors:
1 Tm 0.000 0.000 0.000
2 Np 0.000 0.500 0.500
3 Np 0.500 0.000 0.500
4 Np 0.500 0.500 0.000
5 Tl 0.000 0.000 0.500
6 Tl 0.000 0.500 0.000
7 Tl 0.500 0.000 0.000
8 Te 0.236 0.236 0.739
9 Te 0.236 0.739 0.236
10 Te 0.261 0.764 0.764
11 Te 0.262 0.262 0.262
12 Te 0.738 0.738 0.738
13 Te 0.739 0.236 0.236
14 Te 0.764 0.261 0.764
15 Te 0.764 0.764 0.261

---

(5)
Material: NpU3Tl4Te8
Method: DFT, GGA-PBE
State: relaxed

- Density: 8.11 Mg/m³
- E_form (uncorrected): -0.51 eV/atom
- DOS(E_F): 24.3 states/eV/f.u.
- Total moment: 1.559 Bohr magnetons per cell
- DFT total energy: -5.595 eV/atom

abc: 8.959 8.959 9.767
angles: 117.61 117.61 59.45
Sites, in units of the cell vectors:
1 Np 0.000 0.000 0.000
2 U 0.000 0.500 0.000
3 U 0.500 0.000 0.000
4 U 0.500 0.500 0.000
5 Tl 0.000 0.000 0.500
6 Tl 0.000 0.500 0.500
7 Tl 0.500 0.000 0.500
8 Tl 0.500 0.500 0.500
9 Te 0.240 0.240 0.217
10 Te 0.240 0.737 0.216
11 Te 0.261 0.261 0.783
12 Te 0.263 0.760 0.784
13 Te 0.737 0.240 0.216
14 Te 0.739 0.739 0.217
15 Te 0.760 0.263 0.784
16 Te 0.760 0.760 0.783

---

(6)
Material: Np3Tl3VTe8
Method: DFT, GGA-PBE
State: relaxed

- Density: 7.34 Mg/m³
- E_form (uncorrected): -0.48 eV/atom
- DOS(E_F): 23.5 states/eV/f.u.
- Total moment: 5.920 Bohr magnetons per cell
- DFT total energy: -5.821 eV/atom

abc: 8.635 8.635 9.711
angles: 116.09 116.09 60.46
Sites, in units of the cell vectors:
1 Np 0.000 0.000 0.000
2 Np 0.000 0.500 0.000
3 Np 0.500 0.000 0.000
4 Tl 0.000 0.500 0.500
5 Tl 0.500 0.000 0.500
6 Tl 0.500 0.500 0.500
7 V 0.500 0.500 0.000
8 Te 0.240 0.240 0.220
9 Te 0.257 0.722 0.201
10 Te 0.277 0.277 0.799
11 Te 0.278 0.743 0.799
12 Te 0.722 0.257 0.201
13 Te 0.723 0.723 0.201
14 Te 0.743 0.278 0.799
15 Te 0.760 0.760 0.780

---

Copy entry 6 word for word.
Material: Np3Tl3VTe8
Method: DFT, GGA-PBE
State: relaxed

- Density: 7.34 Mg/m³
- E_form (uncorrected): -0.48 eV/atom
- DOS(E_F): 23.5 states/eV/f.u.
- Total moment: 5.920 Bohr magnetons per cell
- DFT total energy: -5.821 eV/atom

abc: 8.635 8.635 9.711
angles: 116.09 116.09 60.46
Sites, in units of the cell vectors:
1 Np 0.000 0.000 0.000
2 Np 0.000 0.500 0.000
3 Np 0.500 0.000 0.000
4 Tl 0.000 0.500 0.500
5 Tl 0.500 0.000 0.500
6 Tl 0.500 0.500 0.500
7 V 0.500 0.500 0.000
8 Te 0.240 0.240 0.220
9 Te 0.257 0.722 0.201
10 Te 0.277 0.277 0.799
11 Te 0.278 0.743 0.799
12 Te 0.722 0.257 0.201
13 Te 0.723 0.723 0.201
14 Te 0.743 0.278 0.799
15 Te 0.760 0.760 0.780

---

What is the total moment in the fifth record? 1.559 Bohr magnetons per cell

---

What is the total moment in the fourth record? 11.000 Bohr magnetons per cell